# 1
This record from Alexandria describes a relaxed structure of K2DyReO6. The functional is PBE.

```
10
Lattice="-5.430 -0.796 2.161 -0.291 -5.253 -2.666 4.476 1.214 3.645" Properties=species:S:1:pos:R:3 pbc="T T T"
K -1.908 -1.306 2.774
K 0.662 -3.534 0.361
Dy 1.615 -1.813 3.390
Re -0.954 0.415 5.804
O 0.061 -3.457 3.253
O -1.982 -4.011 1.589
O 3.169 -0.169 3.527
O 0.219 -0.602 4.702
O 0.737 -0.829 1.547
O 3.012 -3.024 2.078
```

E_form (uncorrected) = -2.24 eV per atom

# 2
This record from Alexandria describes a relaxed structure of RbNiAs. The functional is PBE.

```
6
Lattice="-0.955 1.881 -3.384 0.849 -3.898 -0.056 -12.190 -1.131 2.810" Properties=species:S:1:pos:R:3 pbc="T T T"
Ni -5.047 -2.361 0.111
Ni -7.248 -0.785 -0.741
As -5.036 -0.300 -1.096
As -7.260 -2.847 0.465
Rb -2.389 -1.743 -2.645
Rb -9.906 -1.404 2.015
```

Final energy = -4.009 eV per atom

# 3
This record from Alexandria describes a relaxed structure of EuPd4Pt. The functional is PBE.

```
6
Lattice="5.344 0.000 0.000 2.672 4.628 0.000 2.672 1.543 4.363" Properties=species:S:1:pos:R:3 pbc="T T T"
Eu 0.000 0.000 0.000
Pd 5.344 3.085 0.557
Pd 5.344 1.553 2.723
Pd 6.671 3.851 2.723
Pd 4.017 3.851 2.723
Pt 2.672 1.543 1.091
```

Final energy = -6.476 eV per atom

# 4
This record from Alexandria describes a relaxed structure of CsHf2F8. The functional is PBE.

```
11
Lattice="-3.092 1.101 2.721 -2.198 -5.840 -0.829 4.576 0.532 4.290" Properties=species:S:1:pos:R:3 pbc="T T T"
Cs -1.546 0.551 1.361
Hf 2.377 -1.536 2.629
Hf 0.000 -3.772 0.832
F -2.022 -4.235 4.599
F 0.039 -2.297 6.156
F 0.609 -2.800 2.679
F -1.821 -3.481 1.985
F 1.106 -0.727 4.198
F -1.324 -1.408 3.504
F -0.754 -1.910 0.027
F 1.307 0.028 1.584
```

E_form (uncorrected) = -3.42 eV per atom

# 5
This record from Alexandria describes a relaxed structure of Tm3ScCo4. The functional is PBE.

```
8
Lattice="-2.411 0.659 2.072 -2.159 -0.354 -2.399 -1.046 -12.640 2.805" Properties=species:S:1:pos:R:3 pbc="T T T"
Sc -2.285 0.153 -0.163
Tm -2.541 -2.944 0.524
Tm -2.808 -6.167 1.239
Tm -3.075 -9.390 1.954
Co -0.926 -11.185 2.482
Co -0.120 -1.455 0.323
Co -0.389 -4.704 1.044
Co -0.657 -7.936 1.761
```

Final energy = -6.266 eV per atom

# 6
This record from Alexandria describes a relaxed structure of Ce3Ga9Ru2. The functional is PBE.

```
14
Lattice="-3.078 -1.657 -2.621 3.645 -6.037 -4.104 -2.082 -7.154 3.326" Properties=species:S:1:pos:R:3 pbc="T T T"
Ce 0.000 0.000 0.000
Ce -1.671 -5.154 -2.062
Ce 0.156 -9.695 -1.337
Ga 0.782 -6.596 -0.389
Ga 0.103 -12.097 -3.397
Ga -1.618 -2.751 -0.002
Ga -1.478 -12.406 -1.346
Ga -0.037 -2.443 -2.054
Ga -0.430 -9.526 -4.396
Ga -1.085 -5.322 0.997
Ga -2.940 -10.016 -1.139
Ga 1.426 -4.832 -2.261
Ru -1.749 -7.618 -0.413
Ru 0.234 -7.231 -2.986
```

Final energy = -5.092 eV per atom

# 7
This record from Alexandria describes a relaxed structure of CaY3Mg8. The functional is PBE.

```
12
Lattice="6.116 0.000 0.000 -3.058 5.297 0.000 0.000 0.000 9.833" Properties=species:S:1:pos:R:3 pbc="T T T"
Ca 0.000 0.000 5.560
Y 3.058 1.766 4.227
Y 3.058 1.766 0.600
Y 0.000 0.000 9.293
Mg 0.000 3.531 4.911
Mg 0.000 3.531 9.814
Mg 3.058 0.049 7.398
Mg 1.571 2.624 7.398
Mg 4.545 2.624 7.398
Mg 0.000 1.736 2.438
Mg -1.555 4.429 2.438
Mg 1.555 4.429 2.438
```

Final energy = -2.939 eV per atom

# 8
This record from Alexandria describes a relaxed structure of Cd3Si5O12. The functional is PBE.

```
80
Lattice="10.399 0.000 0.000 -3.466 9.804 0.000 -3.466 -4.902 8.491" Properties=species:S:1:pos:R:3 pbc="T T T"
Cd 6.066 3.064 1.061
Cd 6.066 6.740 1.061
Cd -0.867 4.289 5.307
Cd 0.867 -0.613 3.184
Cd 7.799 0.000 2.123
Cd 0.867 4.902 2.123
Cd 2.600 0.000 6.368
Cd -4.333 4.902 6.368
Cd 2.600 5.515 5.307
Cd 4.333 0.613 3.184
Cd -2.600 -1.838 7.429
Cd -2.600 1.838 7.429
Si -0.867 2.451 2.123
Si -1.733 4.902 0.000
Si 0.000 0.000 0.000
Si 2.600 1.838 1.061
Si 3.466 -2.451 4.245
Si 3.466 4.902 0.000
Si -2.600 5.515 3.184
Si 4.333 -3.064 7.429
Si 4.333 4.289 3.184
Si 0.867 -2.451 6.368
Si 2.600 7.353 2.123
Si 1.733 2.451 4.245
Si 5.199 0.000 0.000
Si -1.733 -2.451 4.245
Si -0.867 0.613 5.307
Si -0.867 7.966 1.061
Si -3.466 2.451 4.245
Si 6.066 -0.613 5.307
Si 0.867 3.064 7.429
Si 4.333 2.451 6.368
O 3.257 -3.848 8.463
O 0.209 2.954 3.319
O -2.439 2.299 2.711
O 4.172 1.253 0.899
O 1.247 3.321 5.808
O -2.715 5.070 1.562
O -1.028 5.948 3.610
O -2.439 8.551 0.899
O 3.952 -3.321 5.808
O 4.449 4.734 1.562
O 5.409 3.002 3.346
O 1.942 3.848 8.463
O -2.980 4.239 4.218
O 2.484 3.465 0.636
O -3.676 6.802 3.346
O 1.942 -1.948 5.172
O -0.486 0.918 1.535
O 2.484 6.171 0.927
O 4.172 7.505 2.711
O -0.751 3.633 0.927
O 1.247 -3.984 6.956
O 2.761 3.856 3.610
O 4.714 5.565 4.218
O 4.217 -1.437 7.855
O 0.706 1.046 4.881
O -1.247 -0.663 4.273
O -0.751 6.339 0.636
O -0.706 -2.603 5.780
O 2.219 8.886 1.535
O 4.217 1.269 7.564
O 0.982 -1.269 7.564
O 1.524 6.850 3.319
O 3.952 3.984 6.956
O 7.142 -1.900 5.144
O 6.447 0.663 4.273
O 1.524 1.054 0.028
O 0.982 1.437 7.855
O -0.486 8.223 2.683
O -0.982 0.168 6.928
O -1.942 1.900 5.144
O 5.905 -3.649 7.592
O 4.494 -1.046 4.881
O -0.706 3.649 7.592
O 6.182 -0.168 6.928
O 2.219 1.581 2.683
O 5.905 2.603 5.780
O 3.257 1.948 5.172
O 0.209 8.750 0.028
```

E_form (uncorrected) = -1.93 eV per atom

# 9
This record from Alexandria describes a relaxed structure of SbWAu2. The functional is PBE.

```
4
Lattice="-8.321 -3.566 -3.324 -6.758 -3.428 -5.965 -6.448 -5.867 -4.123" Properties=species:S:1:pos:R:3 pbc="T T T"
Au -0.080 -0.048 -0.050
Au -5.518 -3.297 -3.438
Sb -10.633 -6.353 -6.625
W -16.059 -9.595 -10.006
```

E_form (uncorrected) = 0.41 eV per atom

# 10
This record from Alexandria describes a relaxed structure of HfTaNb2C4. The functional is PBE.

```
8
Lattice="3.202 0.000 0.000 0.000 5.550 0.087 0.000 -1.949 5.204" Properties=species:S:1:pos:R:3 pbc="T T T"
Hf 1.601 2.775 0.043
Ta 0.000 0.000 0.000
Nb 1.601 -0.974 2.602
Nb 0.000 1.801 2.645
C 1.601 0.877 1.311
C 1.601 2.724 3.979
C 0.000 -0.098 3.918
C 0.000 3.700 1.372
```

Final energy = -10.492 eV per atom

# 11
This record from Alexandria describes a relaxed structure of Ba2Cd2Pt. The functional is PBE.

```
10
Lattice="7.626 0.000 0.000 0.000 7.626 0.000 0.000 0.000 5.376" Properties=species:S:1:pos:R:3 pbc="T T T"
Ba 1.389 5.202 2.688
Ba 5.202 6.237 2.688
Ba 6.237 2.424 2.688
Ba 2.424 1.389 2.688
Pt 0.000 0.000 0.000
Pt 3.813 3.813 0.000
Cd 2.777 6.590 0.000
Cd 6.590 4.849 0.000
Cd 4.849 1.036 0.000
Cd 1.036 2.777 0.000
```

Polymorph energy (0 for the lowest one) = 250 meV/atom

# 12
This record from Alexandria describes a relaxed structure of LiZr2Ta. The functional is PBE.

```
4
Lattice="2.917 0.000 0.000 0.000 2.917 0.000 0.000 0.000 9.507" Properties=species:S:1:pos:R:3 pbc="T T T"
Li 0.000 0.000 4.862
Ta 1.458 1.458 7.056
Zr 0.000 0.000 9.370
Zr 1.458 1.458 2.481
```

Polymorph energy (0 for the lowest one) = 146 meV/atom